The following is a DFT calculation (PBE) of Al6Cu5Pd after structural relaxation.

Output
Density of states at the Fermi level (states/eV/cell): 2.1
Calculated total energy (eV for the cell shown): -51.56

Cell and atoms, written as extended XYZ:
```
12
Lattice="-1.775 -1.066 -3.593 5.666 -0.987 -2.506 -1.098 -6.488 0.074" Properties=species:S:1:pos:R:3 pbc="T T T"
Cu -0.957 -2.515 -1.174
Cu 1.875 -3.031 -2.420
Cu 0.919 -5.510 -3.605
Cu -1.915 -5.039 -2.345
Cu 2.833 -0.494 -1.253
Pd 0.000 0.000 0.000
Al 2.407 -3.812 -4.843
Al 3.320 -1.266 -3.657
Al 3.225 -5.223 -2.437
Al 0.387 -4.729 -1.182
Al 0.572 -0.787 -2.442
Al -0.431 -3.318 -3.589
```

=====

The following is a DFT calculation (PBE) of ScTlHg2 after structural relaxation.

Output
Density of states at the Fermi level (states/eV/cell): 3.0
Calculated total energy (eV for the cell shown): -19.07

Cell and atoms, written as extended XYZ:
```
8
Lattice="8.139 0.000 0.000 0.000 8.139 0.000 4.070 4.070 3.126" Properties=species:S:1:pos:R:3 pbc="T T T"
Sc 4.070 4.070 0.000
Sc 4.070 8.139 1.563
Tl 0.000 0.000 0.000
Tl 8.139 4.070 1.563
Hg 6.000 2.035 0.781
Hg 10.174 10.070 2.344
Hg 6.104 6.209 2.344
Hg 2.139 6.104 0.781
```

=====

The following is a DFT calculation (PBE) of CoTeH after structural relaxation.

Output
Density of states at the Fermi level (states/eV/cell): 3.3
Energy relative to the lowest polymorph listed for this composition (meV/atom): 61

Cell and atoms, written as extended XYZ:
```
6
Lattice="-2.498 -2.272 3.725 2.579 -2.698 3.448 -0.587 2.405 4.437" Properties=species:S:1:pos:R:3 pbc="T T T"
H -0.298 -0.523 1.661
H -1.064 -0.977 7.626
Co -0.980 0.448 6.867
Co -2.219 -0.680 8.719
Te -0.388 -4.172 6.155
Te -0.919 -0.568 4.586
```

=====

Which of these has the lowest density of states at the Fermi level?
Al6Cu5Pd

=====

Which of these has the lowest density of states at the Fermi level?
Al6Cu5Pd